# Rb2CeI4F2, relaxed, DFT GGA-PBE
# Magnetic moment ... 0.11 μB/cell
# Volume ... 358 Å³/cell
# Raw formation energy ... -193.1 kJ/mol of atoms
# Space-group type ... C2/m (12)
# VASP energy ... -35.8 eV/cell
data_Rb2CeI4F2
_space_group_name_H-M_alt 'P 1'
_space_group_IT_number 1
_cell_length_a 7.874
_cell_length_b 7.874
_cell_length_c 6.442
_cell_angle_alpha 102.11
_cell_angle_beta 102.11
_cell_angle_gamma 67.77
loop_
_space_group_symop_operation_xyz
'x,y,z'
loop_
_atom_site_label
_atom_site_fract_x
_atom_site_fract_y
_atom_site_fract_z
Rb1 0.185 0.185 0.348
Rb2 0.815 0.815 0.652
Ce1 0.500 0.500 0.000
I1 0.140 0.656 0.202
I2 0.344 0.860 0.798
I3 0.656 0.140 0.202
I4 0.860 0.344 0.798
F1 0.367 0.367 0.733
F2 0.633 0.633 0.267

---

# Cs3Na3Hg8, relaxed, DFT GGA-PBE
# Magnetic moment ... 0.00 μB/cell
# D(E_F) ... 6.635 states/eV/cell
# Volume ... 507 Å³/cell
# Formation energy from the elements ... -229 meV/atom
# Space-group type ... Immm (71)
# VASP energy ... -12.1 eV/cell
data_Cs3Na3Hg8
_space_group_name_H-M_alt 'P 1'
_space_group_IT_number 1
_cell_length_a 10.284
_cell_length_b 10.284
_cell_length_c 10.284
_cell_angle_alpha 149.27
_cell_angle_beta 111.86
_cell_angle_gamma 76.59
loop_
_space_group_symop_operation_xyz
'x,y,z'
loop_
_atom_site_label
_atom_site_fract_x
_atom_site_fract_y
_atom_site_fract_z
Cs1 0.000 0.000 0.000
Cs2 0.292 0.292 0.000
Cs3 0.708 0.708 0.000
Na1 0.293 0.500 0.793
Na2 0.500 0.000 0.500
Na3 0.707 0.500 0.207
Hg1 0.020 0.666 0.354
Hg2 0.153 0.865 0.287
Hg3 0.311 0.666 0.646
Hg4 0.422 0.135 0.287
Hg5 0.578 0.865 0.713
Hg6 0.689 0.334 0.354
Hg7 0.847 0.135 0.713
Hg8 0.980 0.334 0.646

---

# Mn4TlOs, relaxed, DFT GGA-PBE
# Magnetic moment ... 6.31 μB/cell
# D(E_F) ... 8.868 states/eV/cell
# Volume ... 81 Å³/cell
# Formation energy from the elements ... 482 meV/atom
# Space-group type ... F-43m (216)
# VASP energy ... -47.4 eV/cell
data_Mn4TlOs
_space_group_name_H-M_alt 'P 1'
_space_group_IT_number 1
_cell_length_a 4.848
_cell_length_b 4.848
_cell_length_c 4.848
_cell_angle_alpha 60.00
_cell_angle_beta 60.00
_cell_angle_gamma 60.00
loop_
_space_group_symop_operation_xyz
'x,y,z'
loop_
_atom_site_label
_atom_site_fract_x
_atom_site_fract_y
_atom_site_fract_z
Mn1 0.125 0.125 0.125
Mn2 0.125 0.125 0.626
Mn3 0.125 0.626 0.125
Mn4 0.626 0.125 0.125
Tl1 0.500 0.500 0.500
Os1 0.750 0.750 0.750

---

# Pm3PrTe3, relaxed, DFT GGA-PBE
# Magnetic moment ... 0.00 μB/cell
# D(E_F) ... 11.154 states/eV/cell
# Volume ... 454 Å³/cell
# Raw formation energy ... -108.5 kJ/mol of atoms
# Space-group type ... R-3 (148)
# VASP energy ... -72.7 eV/cell
data_Pm3PrTe3
_space_group_name_H-M_alt 'P 1'
_space_group_IT_number 1
_cell_length_a 8.113
_cell_length_b 8.113
_cell_length_c 8.113
_cell_angle_alpha 69.78
_cell_angle_beta 69.78
_cell_angle_gamma 69.78
loop_
_space_group_symop_operation_xyz
'x,y,z'
loop_
_atom_site_label
_atom_site_fract_x
_atom_site_fract_y
_atom_site_fract_z
Pm1 0.158 0.664 0.420
Pm2 0.336 0.580 0.842
Pm3 0.420 0.158 0.664
Pm4 0.580 0.842 0.336
Pm5 0.664 0.420 0.158
Pm6 0.842 0.336 0.580
Pr1 0.183 0.183 0.183
Pr2 0.817 0.817 0.817
Te1 0.041 0.403 0.814
Te2 0.186 0.959 0.597
Te3 0.403 0.814 0.041
Te4 0.597 0.186 0.959
Te5 0.814 0.041 0.403
Te6 0.959 0.597 0.186

---

# PmH2Cl, relaxed, DFT GGA-PBE
# Magnetic moment ... 0.00 μB/cell
# D(E_F) ... 0.000 states/eV/cell
# E above lowest polymorph ... 0.000 eV per atom
# Volume ... 132 Å³/cell
# Space-group type ... P-3m1 (164)
# VASP energy ... -36.2 eV/cell
data_PmH2Cl
_space_group_name_H-M_alt 'P 1'
_space_group_IT_number 1
_cell_length_a 3.852
_cell_length_b 3.852
_cell_length_c 10.266
_cell_angle_alpha 90.00
_cell_angle_beta 90.00
_cell_angle_gamma 120.00
loop_
_space_group_symop_operation_xyz
'x,y,z'
loop_
_atom_site_label
_atom_site_fract_x
_atom_site_fract_y
_atom_site_fract_z
Pm1 0.333 0.667 0.336
Pm2 0.667 0.333 0.664
H1 0.000 0.000 0.360
H2 0.000 0.000 0.640
H3 0.333 0.667 0.561
H4 0.667 0.333 0.439
Cl1 0.333 0.667 0.838
Cl2 0.667 0.333 0.162

---

# Tm12In6Ni, relaxed, DFT GGA-PBE
# Magnetic moment ... 0.00 μB/cell
# D(E_F) ... 19.274 states/eV/cell
# Volume ... 539 Å³/cell
# Formation energy from the elements ... -195 meV/atom
# Space-group type ... R-3 (148)
# VASP energy ... -79.6 eV/cell
data_Tm12In6Ni
_space_group_name_H-M_alt 'P 1'
_space_group_IT_number 1
_cell_length_a 8.158
_cell_length_b 8.158
_cell_length_c 8.158
_cell_angle_alpha 93.90
_cell_angle_beta 93.90
_cell_angle_gamma 93.90
loop_
_space_group_symop_operation_xyz
'x,y,z'
loop_
_atom_site_label
_atom_site_fract_x
_atom_site_fract_y
_atom_site_fract_z
Tm1 0.043 0.705 0.929
Tm2 0.071 0.957 0.295
Tm3 0.187 0.522 0.405
Tm4 0.295 0.071 0.957
Tm5 0.405 0.187 0.522
Tm6 0.478 0.595 0.813
Tm7 0.522 0.405 0.187
Tm8 0.595 0.813 0.478
Tm9 0.705 0.929 0.043
Tm10 0.813 0.478 0.595
Tm11 0.929 0.043 0.705
Tm12 0.957 0.295 0.071
In1 0.154 0.365 0.763
In2 0.237 0.846 0.635
In3 0.365 0.763 0.154
In4 0.635 0.237 0.846
In5 0.763 0.154 0.365
In6 0.846 0.635 0.237
Ni1 0.500 0.500 0.500

---

# BaTc2IrO8, relaxed, DFT GGA-PBE
# Magnetic moment ... 0.00 μB/cell
# D(E_F) ... 5.053 states/eV/cell
# Volume ... 173 Å³/cell
# Raw formation energy ... -136.1 kJ/mol of atoms
# Space-group type ... P-1 (2)
# VASP energy ... -88.1 eV/cell
data_BaTc2IrO8
_space_group_name_H-M_alt 'P 1'
_space_group_IT_number 1
_cell_length_a 5.126
_cell_length_b 5.150
_cell_length_c 7.087
_cell_angle_alpha 76.53
_cell_angle_beta 76.56
_cell_angle_gamma 75.48
loop_
_space_group_symop_operation_xyz
'x,y,z'
loop_
_atom_site_label
_atom_site_fract_x
_atom_site_fract_y
_atom_site_fract_z
Ba1 0.000 0.000 0.000
Tc1 0.448 0.446 0.248
Tc2 0.552 0.554 0.752
Ir1 0.000 0.000 0.500
O1 0.202 0.715 0.708
O2 0.255 0.242 0.460
O3 0.276 0.791 0.295
O4 0.353 0.338 0.046
O5 0.647 0.662 0.954
O6 0.724 0.209 0.705
O7 0.745 0.758 0.540
O8 0.798 0.285 0.292

---

# CsK2Ag, relaxed, DFT GGA-PBE
# Magnetic moment ... 0.00 μB/cell
# D(E_F) ... 10.819 states/eV/cell
# E above lowest polymorph ... 0.051 eV per atom
# Volume ... 804 Å³/cell
# Formation energy from the elements ... 82 meV/atom
# Space-group type ... R-3m (166)
# VASP energy ... -16.7 eV/cell
data_CsK2Ag
_space_group_name_H-M_alt 'P 1'
_space_group_IT_number 1
_cell_length_a 5.072
_cell_length_b 5.072
_cell_length_c 36.070
_cell_angle_alpha 90.00
_cell_angle_beta 90.00
_cell_angle_gamma 120.00
loop_
_space_group_symop_operation_xyz
'x,y,z'
loop_
_atom_site_label
_atom_site_fract_x
_atom_site_fract_y
_atom_site_fract_z
Cs1 0.000 0.000 0.000
Cs2 0.333 0.667 0.667
Cs3 0.667 0.333 0.333
K1 0.000 0.000 0.218
K2 0.000 0.000 0.782
K3 0.333 0.667 0.449
K4 0.333 0.667 0.885
K5 0.667 0.333 0.115
K6 0.667 0.333 0.551
Ag1 0.000 0.000 0.500
Ag2 0.333 0.667 0.167
Ag3 0.667 0.333 0.833